(1)
Compound: GaGeB
Source: the Alexandria database
Functional: PBE
Structure: optimized geometry

Lattice parameters (Å, degrees): 3.4707 5.0834 5.6281 74.44 87.16 82.43
Element x y z (fractional)
1 Ga 0.0000 0.0000 0.0000
2 Ga 0.4277 0.9393 0.4454
3 Ge 0.0900 0.4607 0.3282
4 Ge 0.9819 0.5018 0.7630
5 B 0.4356 0.6978 0.8431
6 B 0.5640 0.6926 0.1408

Calculated values
Magnetization (μB per cell): 0.0
Formation enthalpy at 0 K (eV/f.u.): 1.08
VASP energy (eV/atom): -4.415
E above lowest polymorph (meV/atom): 139

***

(2)
Compound: GaGeB
Source: the Alexandria database
Functional: PBE
Structure: optimized geometry

Lattice parameters (Å, degrees): 3.5361 5.0802 6.1440 74.53 73.33 69.87
Element x y z (fractional)
1 Ga 0.0000 0.0000 0.0000
2 Ga 0.3368 0.4122 0.9225
3 Ge 0.2780 0.8401 0.6022
4 Ge 0.6612 0.3688 0.3126
5 B 0.0604 0.6103 0.2739
6 B 0.8378 0.9134 0.4095

Calculated values
Magnetization (μB per cell): 0.0
Formation enthalpy at 0 K (eV/f.u.): 0.98
VASP energy (eV/atom): -4.447
E above lowest polymorph (meV/atom): 106